(1)
DFT (PBE-GGA) results for a relaxed KNi2Cl crystal.

a = 9.072 Å, b = 9.072 Å, c = 9.072 Å
α = 20.03°, β = 20.03°, γ = 20.03°
Element x y z (fractional)
K 0.000 0.000 0.000
Ni 0.229 0.229 0.229
Ni 0.771 0.771 0.771
Cl 0.500 0.500 0.500

The space group is R-3m, No. 166. The calculated total energy comes out at -2.963 eV/atom.



(2)
DFT (PBE-GGA) results for a relaxed Tb6YHo crystal.

a = 6.547 Å, b = 6.740 Å, c = 6.930 Å
α = 118.79°, β = 103.00°, γ = 90.35°
Element x y z (fractional)
Tb 0.228 0.404 0.476
Tb 0.249 0.951 0.000
Tb 0.269 0.925 0.520
Tb 0.731 0.075 0.480
Tb 0.751 0.049 0.000
Tb 0.772 0.596 0.524
Y 0.500 0.500 0.000
Ho 0.000 0.500 0.000

The space group is P-1, No. 2. The calculation puts the energy of formation from the pure elements at 0.200 eV per atom.



(3)
DFT (PBE-GGA) results for a relaxed CuOsS2 crystal.

a = 6.347 Å, b = 6.347 Å, c = 6.347 Å
α = 130.55°, β = 130.55°, γ = 72.53°
Element x y z (fractional)
Cu 0.000 0.000 0.000
Cu 0.750 0.250 0.500
Os 0.250 0.750 0.500
Os 0.500 0.500 0.000
S 0.131 0.625 0.006
S 0.375 0.381 0.506
S 0.619 0.125 0.994
S 0.875 0.869 0.494

The space group is I-42d, No. 122. The calculated total energy comes out at -5.874 eV/atom.



(4)
DFT (PBE-GGA) results for a relaxed GdYRuPt crystal.

a = 4.900 Å, b = 4.900 Å, c = 4.900 Å
α = 60.00°, β = 60.00°, γ = 60.00°
Element x y z (fractional)
Gd 0.000 0.000 0.000
Y 0.500 0.500 0.500
Ru 0.250 0.250 0.250
Pt 0.750 0.750 0.750

The space group is F-43m, No. 216. The calculation puts the energy of formation from the pure elements at -0.734 eV per atom.



(5)
DFT (PBE-GGA) results for a relaxed PmDyCrN4 crystal.

a = 5.565 Å, b = 5.485 Å, c = 6.777 Å
α = 90.00°, β = 108.15°, γ = 90.00°
Element x y z (fractional)
Pm 0.225 0.250 0.434
Pm 0.775 0.750 0.566
Dy 0.297 0.250 0.962
Dy 0.703 0.750 0.038
Cr 0.257 0.750 0.193
Cr 0.743 0.250 0.807
N 0.057 0.750 0.347
N 0.083 0.750 0.936
N 0.468 0.505 0.249
N 0.468 0.995 0.249
N 0.532 0.005 0.751
N 0.532 0.495 0.751
N 0.917 0.250 0.064
N 0.943 0.250 0.653

The space group is P2_1/m, No. 11. The calculated total energy comes out at -8.577 eV/atom.



(6)
DFT (PBE-GGA) results for a relaxed CaCrSe3 crystal.

a = 4.920 Å, b = 4.920 Å, c = 4.920 Å
α = 90.00°, β = 90.00°, γ = 90.00°
Element x y z (fractional)
Ca 0.000 0.000 0.000
Cr 0.500 0.500 0.500
Se 0.000 0.500 0.500
Se 0.500 0.000 0.500
Se 0.500 0.500 0.000

The space group is Pm-3m, No. 221. The calculated total energy comes out at -5.081 eV/atom.



(7)
DFT (PBE-GGA) results for a relaxed Sm2YAl9 crystal.

a = 9.382 Å, b = 9.382 Å, c = 9.382 Å
α = 34.86°, β = 34.86°, γ = 34.86°
Element x y z (fractional)
Sm 0.142 0.142 0.142
Sm 0.858 0.858 0.858
Y 0.000 0.000 0.000
Al 0.075 0.586 0.586
Al 0.335 0.335 0.335
Al 0.414 0.414 0.925
Al 0.414 0.925 0.414
Al 0.500 0.500 0.500
Al 0.586 0.075 0.586
Al 0.586 0.586 0.075
Al 0.665 0.665 0.665
Al 0.925 0.414 0.414

The space group is R-3m, No. 166. The calculation puts the energy of formation from the pure elements at -0.364 eV per atom.



(8)
DFT (PBE-GGA) results for a relaxed BiCSe2N crystal.

a = 5.515 Å, b = 5.515 Å, c = 4.371 Å
α = 90.00°, β = 90.00°, γ = 90.00°
Element x y z (fractional)
Bi 0.000 0.000 0.000
C 0.500 0.500 0.500
Se 0.000 0.500 0.000
Se 0.500 0.000 0.000
N 0.000 0.000 0.500

The space group is P4/mmm, No. 123. The calculated total energy comes out at -3.206 eV/atom.



(9)
DFT (PBE-GGA) results for a relaxed Sc2TaO crystal.

a = 2.864 Å, b = 2.864 Å, c = 7.617 Å
α = 90.00°, β = 90.00°, γ = 90.00°
Element x y z (fractional)
Sc 0.000 0.000 0.189
Sc 0.000 0.000 0.811
Ta 0.500 0.500 0.500
O 0.500 0.500 0.000

The space group is P4/mmm, No. 123. The calculated total energy comes out at -8.378 eV/atom.



(10)
DFT (PBE-GGA) results for a relaxed Al2SeS crystal.

a = 5.968 Å, b = 5.968 Å, c = 5.968 Å
α = 112.39°, β = 112.39°, γ = 103.79°
Element x y z (fractional)
Al 0.108 0.625 0.983
Al 0.375 0.358 0.483
Al 0.642 0.125 0.017
Al 0.875 0.892 0.517
Se 0.250 0.750 0.500
Se 0.500 0.500 0.000
S 0.000 0.000 0.000
S 0.750 0.250 0.500

The space group is I-42d, No. 122. The calculated total energy comes out at -4.123 eV/atom.



(11)
DFT (PBE-GGA) results for a relaxed NdDy6Th crystal.

a = 6.557 Å, b = 6.743 Å, c = 6.849 Å
α = 61.83°, β = 77.87°, γ = 89.59°
Element x y z (fractional)
Nd 0.000 0.000 0.000
Dy 0.233 0.573 0.519
Dy 0.254 0.542 0.003
Dy 0.272 0.092 0.478
Dy 0.728 0.908 0.522
Dy 0.746 0.458 0.997
Dy 0.767 0.427 0.481
Th 0.500 0.000 0.000

The space group is P-1, No. 2. The calculation puts the energy of formation from the pure elements at 0.225 eV per atom.



(12)
DFT (PBE-GGA) results for a relaxed BaNaCa2Tl4 crystal.

a = 10.072 Å, b = 10.072 Å, c = 10.072 Å
α = 32.17°, β = 32.17°, γ = 32.17°
Element x y z (fractional)
Ba 0.000 0.000 0.000
Na 0.500 0.500 0.500
Ca 0.243 0.243 0.243
Ca 0.757 0.757 0.757
Tl 0.125 0.125 0.125
Tl 0.387 0.387 0.387
Tl 0.613 0.613 0.613
Tl 0.875 0.875 0.875

The space group is R-3m, No. 166. The calculation puts the energy of formation from the pure elements at -0.315 eV per atom.



| no. | total magnetic moment (μB per formula unit) |
| --- | --- |
| 1 | 1.405 |
| 2 | 0.000 |
| 3 | 0.000 |
| 4 | 6.931 |
| 5 | 0.000 |
| 6 | 2.565 |
| 7 | 0.000 |
| 8 | 1.651 |
| 9 | 0.001 |
| 10 | 0.000 |
| 11 | 0.000 |
| 12 | 0.000 |